1.
Computed, not measured: Cs2LiTmCl6 after structural relaxation at the PBE level of DFT.

a b c (Å): 7.521 7.521 13.176
angles (deg): 73.42 73.42 60.00
Element x y z (fractional)
Cs1 0.872 0.872 0.383
Cs2 0.290 0.290 0.131
Cs3 0.710 0.710 0.869
Cs4 0.128 0.128 0.617
Cl1 0.792 0.293 0.122
Cl2 0.144 0.613 0.630
Cl3 0.293 0.792 0.122
Cl4 0.208 0.707 0.878
Cl5 0.792 0.792 0.122
Cl6 0.613 0.144 0.630
Cl7 0.707 0.208 0.878
Cl8 0.387 0.387 0.370
Cl9 0.856 0.387 0.370
Cl10 0.208 0.208 0.878
Cl11 0.387 0.856 0.370
Cl12 0.613 0.613 0.630
Li1 0.500 0.500 0.500
Li2 0.000 0.000 0.000
Tm1 0.587 0.587 0.238
Tm2 0.413 0.413 0.762

Calculated values
space-group type	No. 166
formation energy (no corrections)	-2.13	eV/atom
total DFT energy (no corrections)	-4.052	eV per atom

=====

2.
Computed, not measured: CsLiTmCl5 after structural relaxation at the PBE level of DFT.

a b c (Å): 7.697 7.697 10.071
angles (deg): 104.04 104.04 106.45
Element x y z (fractional)
Cl1 0.224 0.361 0.588
Cl2 0.106 0.714 0.902
Cl3 0.286 0.894 0.598
Cl4 0.061 0.939 0.250
Cl5 0.939 0.061 0.750
Cl6 0.361 0.224 0.088
Cl7 0.639 0.776 0.912
Cl8 0.776 0.639 0.412
Cl9 0.894 0.286 0.098
Cl10 0.714 0.106 0.402
Cs1 0.662 0.338 0.750
Cs2 0.338 0.662 0.250
Li1 0.692 0.308 0.250
Li2 0.308 0.692 0.750
Tm1 0.000 0.000 0.000
Tm2 0.000 0.000 0.500

Calculated values
space-group type	No. 15
formation energy (no corrections)	-2.12	eV/atom
total DFT energy (no corrections)	-4.180	eV per atom